# Pm4BC2

Pm4BC2 after structural relaxation (PBE, Alexandria via LeMat-Bulk).

abc: 4.7071 4.7071 21.0156
angles: 90.00 90.00 120.00
Space group R-3m (No. 166, hexagonal axes)
Asymmetric unit:
Pm1 0.0000 0.0000 0.1132 [6 per cell]
Pm2 0.0000 0.0000 0.3080 [6 per cell]
B1 0.0000 0.0000 0.5000 [3 per cell]
C1 0.0000 0.0000 0.4269 [6 per cell]

Properties
**D(E_F)**: 14.21 states/eV/cell
**ΔE_f**: 0.209 eV/atom
**Total magnetic moment**: 0.0 μB per cell
**Raw total energy**: -6.095 eV per atom

***

# TaPRh2

TaPRh2 after structural relaxation (PBE, Alexandria via LeMat-Bulk).

abc: 3.836 3.836 3.962
angles: 90.00 90.00 90.00
Space group P4/mmm (No. 123)
Asymmetric unit:
Ta1 0.000 0.000 0.000 [1 per cell]
P1 0.500 0.500 0.000 [1 per cell]
Rh1 0.000 0.500 0.500 [2 per cell]

Properties
**D(E_F)**: 2.14 states/eV/cell
**ΔE_f**: -0.332 eV/atom
**Total magnetic moment**: 0.0 μB per cell
**Raw total energy**: -8.323 eV per atom

***

# MgZn2PW

MgZn2PW after structural relaxation (PBE, Alexandria via LeMat-Bulk).

abc: 4.606 4.606 4.541
angles: 90.00 90.00 90.00
Space group P4/mmm (No. 123)
Asymmetric unit:
Mg1 0.000 0.000 0.000 [1 per cell]
Zn1 0.000 0.500 0.500 [2 per cell]
P1 0.500 0.500 0.500 [1 per cell]
W1 0.500 0.500 0.000 [1 per cell]

Properties
**D(E_F)**: 2.37 states/eV/cell
**ΔE_f**: 0.646 eV/atom
**Total magnetic moment**: 0.0 μB per cell
**Raw total energy**: -3.855 eV per atom